1.
## LaAg2Sb2 (GGA-PBE)

Data for a geometry-optimized LaAg2Sb2 structure.

The formation energy (no corrections) is -8.38 kcal/mol of atoms. As for the electronic total energy: -20.7 eV/f.u. The energy relative to the lowest polymorph listed for this composition comes out at 1.01 eV per formula unit. For the density, the calculation gives 8.04 g/cm3.

Geometry as CIF:
```
data_LaAg2Sb2
_chemical_formula_sum 'La2 Ag4 Sb4'
_cell_length_a 8.308
_cell_length_b 8.308
_cell_length_c 3.579
_cell_angle_alpha 90.00
_cell_angle_beta 90.00
_cell_angle_gamma 90.00
_space_group_name_H-M_alt 'P 4/m b m'
_space_group_IT_number 127
_space_group_name_Hall '-P 4 2ab'
loop_
_atom_site_label
_atom_site_type_symbol
_atom_site_fract_x
_atom_site_fract_y
_atom_site_fract_z
La1 La 0.000 0.000 0.000
Ag1 Ag 0.117 0.383 0.000
Sb1 Sb 0.186 0.686 0.500
```



2.
## LaAgSb (GGA-PBE)

Data for a geometry-optimized LaAgSb structure.

The formation energy (no corrections) is -15.17 kcal/mol of atoms. As for the electronic total energy: -13.9 eV/f.u. For the density, the calculation gives 6.81 g/cm3.

Geometry as CIF:
```
data_LaAgSb
_chemical_formula_sum 'La4 Ag4 Sb4'
_cell_length_a 4.233
_cell_length_b 5.243
_cell_length_c 16.200
_cell_angle_alpha 90.00
_cell_angle_beta 90.00
_cell_angle_gamma 90.00
_space_group_name_H-M_alt 'I m m m'
_space_group_IT_number 71
_space_group_name_Hall '-I 2 2'
loop_
_atom_site_label
_atom_site_type_symbol
_atom_site_fract_x
_atom_site_fract_y
_atom_site_fract_z
La1 La 0.000 0.000 0.149
Ag1 Ag 0.000 0.252 0.500
Sb1 Sb 0.000 0.000 0.344
```



3.
## LaAgSb (GGA-PBE)

Data for a geometry-optimized LaAgSb structure.

The formation energy (no corrections) is -16.84 kcal/mol of atoms. As for the electronic total energy: -14.1 eV/f.u. For the density, the calculation gives 7.44 g/cm3.

Geometry as CIF:
```
data_LaAgSb
_chemical_formula_sum 'La1 Ag1 Sb1'
_cell_length_a 4.6925
_cell_length_b 4.6925
_cell_length_c 4.3119
_cell_angle_alpha 90.00
_cell_angle_beta 90.00
_cell_angle_gamma 120.00
_space_group_name_H-M_alt 'P 3 m 1'
_space_group_IT_number 156
loop_
_space_group_symop_operation_xyz
'x,y,z'
'-y,x-y,z'
'-x+y,-x,z'
'-y,-x,z'
'-x+y,y,z'
'x,x-y,z'
loop_
_atom_site_label
_atom_site_type_symbol
_atom_site_fract_x
_atom_site_fract_y
_atom_site_fract_z
La1 La 0.0000 0.0000 0.0000
Ag1 Ag 0.3333 0.6667 0.5078
Sb1 Sb 0.6667 0.3333 0.4970
```



Q: formation energy (no corrections) of number 3 (LaAgSb)?
A: -16.84 kcal/mol of atoms